A relaxed structure of KLi3Hf. Source: Alexandria, functional PBE. Values from VASP.

Quantum ESPRESSO input file:
```
&SYSTEM
  ibrav = 0, nat = 5, ntyp = 3
/
ATOMIC_SPECIES
Hf 178.49 Hf.upf
Li 6.94 Li.upf
K 39.10 K.upf
CELL_PARAMETERS angstrom
-3.6157 -2.8897 1.6281
2.6051 -0.9835 4.0399
-2.0529 3.8415 2.2590
ATOMIC_POSITIONS crystal
Hf 0.5000 0.5000 0.5000
Li 0.0000 0.0000 0.5000
Li 0.5000 0.0000 0.0000
Li 0.0000 0.5000 0.0000
K 0.0000 0.0000 0.0000
```

Output
formation energy: 1.13 eV per atom
total magnetization: 0.268 μB/atom
crystal system: cubic